TmFeF6 | PBE with a Hubbard U | optimized geometry

Computed properties:
E: -89.92 eV per cell

Cell lengths 5.2152, 8.6899, 5.0857 Å; angles 90.00, 102.95, 90.00 degrees
With the nearest neighbours (Å) after each atom.
Space group C2/m (No. 12)
Unique sites:
Tm 0.0000 0.0000 0.0000 x2  6 F 2.13-2.18
Fe 0.0000 0.5000 0.5000 x2  6 F 1.91
F 0.2092 0.3548 0.7369 x8  1 Fe 1.91
F 0.2473 0.0000 0.7196 x4  1 Fe 1.91, 1 Tm 2.13